(1)
This record from Alexandria via LeMat-Bulk describes a relaxed Al2HgPd2 crystal. The functional is PBE.

The structure belongs to space group P4/mbm (No. 127); the cell edges are 7.358, 7.358 and 3.044 Å and the angles 90.00°, 90.00° and 90.00°. The inequivalent atoms are Al at (0.148, 0.352, 0.000), Hg at (0.000, 0.000, 0.500) and Pd at (0.144, 0.644, 0.500).

The value obtained for the formation enthalpy at 0 K is -2.85 eV per formula unit.

***

(2)
This record from Alexandria via LeMat-Bulk describes a relaxed K3Tl3Sn2 crystal. The functional is PBE.

The structure belongs to space group Cmcm (No. 63); the cell edges are 5.740, 11.835 and 17.028 Å and the angles 90.00°, 90.00° and 90.00°. The inequivalent atoms are K at (0.000, 0.001, 0.250), K at (0.000, 0.162, 0.534), Tl at (0.000, 0.306, 0.750), Tl at (0.000, 0.466, 0.594) and Sn at (0.000, 0.293, 0.165).

The value obtained for the formation enthalpy at 0 K is -0.87 eV per formula unit.

***

(3)
This record from Alexandria via LeMat-Bulk describes a relaxed K2OsCl5O crystal. The functional is PBE.

The structure belongs to space group I4mm (No. 107); the cell edges are 7.214, 7.214 and 9.215 Å and the angles 90.00°, 90.00° and 90.00°. The inequivalent atoms are K at (0.000, 0.500, 0.000), Os at (0.000, 0.000, 0.263), Cl at (0.000, 0.000, 0.003), Cl at (0.233, 0.233, 0.250) and O at (0.000, 0.000, 0.453).

Its uncorrected formation energy is -113.6 kJ per mole of atoms.

***

(4)
This record from Alexandria via LeMat-Bulk describes a relaxed Ni3Te4Cl2 crystal. The functional is PBE.

The structure belongs to space group P-6m2 (No. 187); the cell edges are 3.5877, 3.5877 and 19.3642 Å and the angles 90.00°, 90.00° and 120.00°. The inequivalent atoms are Ni at (0.0000, 0.0000, 0.0000), Ni at (0.3333, 0.6667, 0.3134), Te at (0.0000, 0.0000, 0.2346), Te at (0.0000, 0.0000, 0.3933) and Cl at (0.3333, 0.6667, 0.0763).

Its uncorrected formation energy is -14.4 kJ per mole of atoms.

***

(5)
This record from Alexandria via LeMat-Bulk describes a relaxed PPt2W crystal. The functional is PBE.

The structure belongs to space group P4/mmm (No. 123); the cell edges are 2.835, 2.835 and 7.705 Å and the angles 90.00°, 90.00° and 90.00°. The inequivalent atoms are P at (0.000, 0.000, 0.000), Pt at (0.500, 0.500, 0.252) and W at (0.000, 0.000, 0.500).

The value obtained for the formation enthalpy at 0 K is -0.10 eV per formula unit.

***

(6)
This record from Alexandria via LeMat-Bulk describes a relaxed YAgIr2 crystal. The functional is PBE.

The structure belongs to space group I-4m2 (No. 119); the cell edges are 4.136, 4.136 and 8.365 Å and the angles 90.00°, 90.00° and 90.00°. The inequivalent atoms are Y at (0.000, 0.000, 0.000), Ag at (0.000, 0.500, 0.750), Ir at (0.000, 0.000, 0.500) and Ir at (0.000, 0.500, 0.250).

The value obtained for the formation enthalpy at 0 K is -0.33 eV per formula unit.